Version w
Below is PuBRh after structural relaxation, with properties calculated at the GGA-PBE level.

a = 3.137 Å, b = 5.166 Å, c = 5.875 Å
α = 94.84°, β = 105.45°, γ = 90.04°
Positions (direct):
Pu 0.132 0.376 0.262
Pu 0.868 0.624 0.738
B 0.231 0.893 0.462
B 0.769 0.107 0.538
Rh 0.399 0.137 0.799
Rh 0.601 0.863 0.201

Results
As for the space-group type: P-1 (2). The calculation puts the density of states at the Fermi level at 7.082 states/eV/f.u.

=====

Version x
Below is PuBRh after structural relaxation, with properties calculated at the GGA-PBE level.

a = 6.369 Å, b = 3.620 Å, c = 8.374 Å
α = 90.00°, β = 90.00°, γ = 90.00°
Positions (direct):
Pu 0.027 0.250 0.187
Pu 0.473 0.750 0.687
Pu 0.527 0.250 0.313
Pu 0.973 0.750 0.813
B 0.200 0.750 0.421
B 0.300 0.250 0.921
B 0.700 0.750 0.079
B 0.800 0.250 0.579
Rh 0.151 0.250 0.545
Rh 0.349 0.750 0.045
Rh 0.651 0.250 0.955
Rh 0.849 0.750 0.455

Results
As for the space-group type: Pnma (62). The calculation puts the density of states at the Fermi level at 7.839 states/eV/f.u.

=====

Decreasing stability: version w, version x

=====

Version w
Below is PuB2Ru after structural relaxation, with properties calculated at the GGA-PBE level.

a = 6.074 Å, b = 6.074 Å, c = 6.074 Å
α = 30.76°, β = 30.76°, γ = 30.76°
Positions (direct):
Pu 0.000 0.000 0.000
B 0.233 0.233 0.233
B 0.767 0.767 0.767
Ru 0.500 0.500 0.500

Results
As for the space-group type: R-3m (166). The calculation puts the density of states at the Fermi level at 6.831 states/eV/f.u.

=====

Version x
Below is PuB2Ru after structural relaxation, with properties calculated at the GGA-PBE level.

a = 6.276 Å, b = 6.276 Å, c = 5.515 Å
α = 90.00°, β = 90.00°, γ = 151.56°
Positions (direct):
Pu 0.075 0.925 0.750
Pu 0.925 0.075 0.250
B 0.257 0.743 0.090
B 0.257 0.743 0.410
B 0.743 0.257 0.590
B 0.743 0.257 0.910
Ru 0.351 0.649 0.750
Ru 0.649 0.351 0.250

Results
As for the space-group type: Cmcm (63). The calculation puts the density of states at the Fermi level at 6.315 states/eV/f.u.

=====

Decreasing stability: version x, version w

=====

Version w
Below is TmPuB4 after structural relaxation, with properties calculated at the GGA-PBE level.

a = 6.129 Å, b = 11.946 Å, c = 3.940 Å
α = 90.00°, β = 90.00°, γ = 90.00°
Positions (direct):
Tm 0.119 0.160 0.000
Tm 0.381 0.660 0.000
Tm 0.619 0.340 0.000
Tm 0.881 0.840 0.000
Pu 0.128 0.421 0.000
Pu 0.372 0.921 0.000
Pu 0.628 0.079 0.000
Pu 0.872 0.579 0.000
B 0.030 0.697 0.500
B 0.127 0.972 0.500
B 0.136 0.558 0.500
B 0.206 0.813 0.500
B 0.294 0.313 0.500
B 0.364 0.058 0.500
B 0.373 0.472 0.500
B 0.470 0.197 0.500
B 0.530 0.803 0.500
B 0.627 0.528 0.500
B 0.636 0.942 0.500
B 0.706 0.687 0.500
B 0.794 0.187 0.500
B 0.864 0.442 0.500
B 0.873 0.028 0.500
B 0.970 0.303 0.500

Results
As for the space-group type: Pbam (55). The calculation puts the density of states at the Fermi level at 5.588 states/eV/f.u.

=====

Version x
Below is TmPuB4 after structural relaxation, with properties calculated at the GGA-PBE level.

a = 4.710 Å, b = 4.710 Å, c = 4.710 Å
α = 60.00°, β = 60.00°, γ = 60.00°
Positions (direct):
Tm 0.000 0.000 0.000
Pu 0.750 0.750 0.750
B 0.406 0.406 0.406
B 0.406 0.406 0.781
B 0.406 0.781 0.406
B 0.781 0.406 0.406

Results
As for the space-group type: F-43m (216). The calculation puts the density of states at the Fermi level at 12.951 states/eV/f.u.

=====

Decreasing stability: version w, version x

=====

Version w
Below is RbB after structural relaxation, with properties calculated at the GGA-PBE level.

a = 3.261 Å, b = 5.668 Å, c = 5.702 Å
α = 119.47°, β = 96.43°, γ = 92.64°
Positions (direct):
Rb 0.000 0.000 0.000
Rb 0.492 0.333 0.670
B 0.001 0.666 0.337
B 0.501 0.667 0.333

Results
As for the space-group type: P1 (1). The calculation puts the density of states at the Fermi level at 0.316 states/eV/f.u.

=====

Version x
Below is RbB after structural relaxation, with properties calculated at the GGA-PBE level.

a = 10.462 Å, b = 10.462 Å, c = 5.334 Å
α = 90.00°, β = 90.00°, γ = 162.18°
Positions (direct):
Rb 0.000 0.000 0.000
Rb 0.341 0.659 0.500
Rb 0.659 0.341 0.500
B 0.249 0.751 0.000
B 0.500 0.500 0.500
B 0.751 0.249 0.000

Results
As for the space-group type: Cmmm (65). The calculation puts the density of states at the Fermi level at 1.271 states/eV/f.u.

=====

Decreasing stability: version w, version x

=====

Version w
Below is RbB after structural relaxation, with properties calculated at the GGA-PBE level.

a = 7.155 Å, b = 7.155 Å, c = 6.092 Å
α = 90.00°, β = 90.00°, γ = 90.00°
Positions (direct):
Rb 0.193 0.193 0.000
Rb 0.307 0.693 0.500
Rb 0.693 0.307 0.500
Rb 0.807 0.807 0.000
B 0.078 0.078 0.500
B 0.422 0.578 0.000
B 0.578 0.422 0.000
B 0.922 0.922 0.500

Results
As for the space-group type: P4_2/mnm (136). The calculation puts the density of states at the Fermi level at 0.783 states/eV/f.u.

=====

Version x
Below is RbB after structural relaxation, with properties calculated at the GGA-PBE level.

a = 9.022 Å, b = 9.022 Å, c = 9.022 Å
α = 91.83°, β = 91.83°, γ = 159.40°
Positions (direct):
Rb 0.000 0.250 0.250
Rb 0.000 0.750 0.750
Rb 0.250 0.000 0.250
Rb 0.750 0.000 0.750
B 0.252 0.252 0.504
B 0.252 0.748 0.000
B 0.748 0.252 0.000
B 0.748 0.748 0.496

Results
As for the space-group type: I4/mmm (139). The calculation puts the density of states at the Fermi level at 0.611 states/eV/f.u.

=====

Decreasing stability: version x, version w

=====

Version w
Below is RbReB2 after structural relaxation, with properties calculated at the GGA-PBE level.

a = 6.541 Å, b = 6.541 Å, c = 6.541 Å
α = 60.00°, β = 60.00°, γ = 60.00°
Positions (direct):
Rb 0.125 0.125 0.125
Rb 0.875 0.875 0.875
Re 0.375 0.375 0.375
Re 0.625 0.625 0.625
B 0.000 0.500 0.500
B 0.500 0.000 0.500
B 0.500 0.500 0.000
B 0.500 0.500 0.500

Results
As for the space-group type: Fd-3m (227). The calculation puts the density of states at the Fermi level at 1.750 states/eV/f.u.

=====

Version x
Below is RbReB2 after structural relaxation, with properties calculated at the GGA-PBE level.

a = 4.389 Å, b = 4.389 Å, c = 4.389 Å
α = 60.00°, β = 60.00°, γ = 60.00°
Positions (direct):
Rb 0.000 0.000 0.000
Re 0.500 0.500 0.500
B 0.250 0.250 0.250
B 0.750 0.750 0.750

Results
As for the space-group type: Fm-3m (225). The calculation puts the density of states at the Fermi level at 4.480 states/eV/f.u.

=====

Decreasing stability: version w, version x

=====

Version w
Below is RbRe2B2 after structural relaxation, with properties calculated at the GGA-PBE level.

a = 7.511 Å, b = 7.511 Å, c = 2.886 Å
α = 90.00°, β = 90.00°, γ = 90.00°
Positions (direct):
Rb 0.000 0.000 0.000
Rb 0.500 0.500 0.000
Re 0.122 0.378 0.500
Re 0.378 0.878 0.500
Re 0.622 0.122 0.500
Re 0.878 0.622 0.500
B 0.100 0.600 0.000
B 0.400 0.100 0.000
B 0.600 0.900 0.000
B 0.900 0.400 0.000

Results
As for the space-group type: P4/mbm (127). The calculation puts the density of states at the Fermi level at 3.022 states/eV/f.u.

=====

Version x
Below is RbRe2B2 after structural relaxation, with properties calculated at the GGA-PBE level.

a = 7.143 Å, b = 7.143 Å, c = 7.143 Å
α = 147.60°, β = 147.60°, γ = 46.47°
Positions (direct):
Rb 0.000 0.000 0.000
Re 0.250 0.750 0.500
Re 0.750 0.250 0.500
B 0.307 0.307 0.000
B 0.693 0.693 0.000

Results
As for the space-group type: I4/mmm (139). The calculation puts the density of states at the Fermi level at 3.092 states/eV/f.u.

=====

Decreasing stability: version x, version w

=====

Version w
Below is Rb2ReB2 after structural relaxation, with properties calculated at the GGA-PBE level.

a = 6.123 Å, b = 6.123 Å, c = 5.893 Å
α = 90.00°, β = 90.00°, γ = 90.00°
Positions (direct):
Rb 0.176 0.324 0.000
Rb 0.324 0.824 0.000
Rb 0.676 0.176 0.000
Rb 0.824 0.676 0.000
Re 0.000 0.000 0.500
Re 0.500 0.500 0.500
B 0.238 0.738 0.500
B 0.262 0.238 0.500
B 0.738 0.762 0.500
B 0.762 0.262 0.500

Results
As for the space-group type: P4/mbm (127). The calculation puts the density of states at the Fermi level at 1.813 states/eV/f.u.

=====

Version x
Below is Rb2ReB2 after structural relaxation, with properties calculated at the GGA-PBE level.

a = 7.060 Å, b = 7.060 Å, c = 7.060 Å
α = 148.71°, β = 148.71°, γ = 44.84°
Positions (direct):
Rb 0.250 0.750 0.500
Rb 0.750 0.250 0.500
Re 0.000 0.000 0.000
B 0.439 0.439 0.000
B 0.561 0.561 0.000

Results
As for the space-group type: I4/mmm (139). The calculation puts the density of states at the Fermi level at 4.971 states/eV/f.u.

=====

Decreasing stability: version w, version x